(1)
## SrAcNi4 (PBE)

Data for a relaxed structure of SrAcNi4.

Output
density of states at the Fermi level: 0.787 states/eV per atom
electronic total energy: -29.797 eV for the cell shown
DFT formation energy: -0.882 eV per formula unit
energy above the most stable polymorph in this dataset: 0 meV per atom

a = 4.065 Å, b = 5.922 Å, c = 5.923 Å
α = 93.16°, β = 69.93°, γ = 69.93°
Positions (direct):
Ni (0.666, 0.085, 0.082)
Ni (0.334, 0.418, 0.415)
Ni (0.666, 0.582, 0.585)
Ni (0.334, 0.915, 0.918)
Ac (0.000, 0.500, 0.000)
Sr (0.000, 0.000, 0.500)

(2)
## HfCrCu4 (PBE)

Data for a relaxed structure of HfCrCu4.

Output
density of states at the Fermi level: 0.799 states/eV per atom
electronic total energy: -36.025 eV for the cell shown
DFT formation energy: -0.064 eV per formula unit

a = 4.912 Å, b = 4.912 Å, c = 4.912 Å
α = 60.00°, β = 60.00°, γ = 60.00°
Each line ends with the local moment (μB).
Positions (direct):
Cu (0.123, 0.626, 0.626)  0.07
Hf (0.250, 0.250, 0.250)  0.11
Cr (0.000, 0.000, 0.000)  3.35
Cu (0.626, 0.626, 0.123)  0.07
Cu (0.626, 0.123, 0.626)  0.07
Cu (0.626, 0.626, 0.626)  0.07

(3)
## BaPtAu (PBE)

Data for a relaxed structure of BaPtAu.

Output
density of states at the Fermi level: 1.109 states/eV per atom
electronic total energy: -10.798 eV for the cell shown
DFT formation energy: 0.443 eV per formula unit
energy above the most stable polymorph in this dataset: 802 meV per atom

a = 5.212 Å, b = 5.212 Å, c = 5.212 Å
α = 60.00°, β = 60.00°, γ = 60.00°
Positions (direct):
Pt (0.000, 0.000, 0.000)
Au (0.500, 0.500, 0.500)
Ba (0.250, 0.250, 0.250)

(4)
## DyZrSn (PBE)

Data for a relaxed structure of DyZrSn.

Output
density of states at the Fermi level: 0.859 states/eV per atom
electronic total energy: -68.111 eV for the cell shown
DFT formation energy: 0.125 eV per formula unit

a = 7.085 Å, b = 7.085 Å, c = 9.002 Å
α = 99.18°, β = 99.18°, γ = 126.48°
Each line ends with the local moment (μB).
Positions (direct):
Sn (0.480, 0.980, 0.500)  -0.01
Sn (0.770, 0.770, 0.000)  -0.01
Dy (0.806, 0.806, 0.612)  0.21
Dy (0.194, 0.194, 0.388)  0.21
Zr (0.625, 0.375, 0.250)  0.40
Zr (0.625, 0.375, 0.750)  0.40
Dy (0.444, 0.944, 0.888)  0.21
Sn (0.230, 0.230, 0.000)  -0.01
Dy (0.056, 0.556, 0.112)  0.21
Zr (0.625, 0.875, 0.250)  0.40
Zr (0.125, 0.375, 0.750)  0.40
Sn (0.020, 0.520, 0.500)  -0.01

(5)
## TiRh2I (PBE)

Data for a relaxed structure of TiRh2I.

Output
density of states at the Fermi level: 2.169 states/eV per atom
electronic total energy: -23.421 eV for the cell shown
energy above the most stable polymorph in this dataset: 0 meV per atom
formation energy (no corrections): 0.1816 eV/atom

a = 4.604 Å, b = 4.604 Å, c = 4.604 Å
α = 60.00°, β = 60.00°, γ = 60.00°
Positions (direct):
I (0.500, 0.500, 0.500)
Rh (0.250, 0.250, 0.250)
Ti (0.000, 0.000, 0.000)
Rh (0.750, 0.750, 0.750)

(6)
## CsSmGe2I8 (PBE)

Data for a relaxed structure of CsSmGe2I8.

Output
density of states at the Fermi level: 0.000 states/eV per atom
electronic total energy: -37.158 eV for the cell shown
formation energy (no corrections): -0.8291 eV/atom

a = 7.841 Å, b = 7.262 Å, c = 11.082 Å
α = 91.11°, β = 85.59°, γ = 83.88°
Positions (direct):
Ge (0.455, 0.437, 0.802)
I (0.167, 0.760, 0.192)
I (0.398, 0.248, 0.603)
I (0.160, 0.735, 0.787)
Sm (0.000, 0.000, 0.000)
I (0.602, 0.752, 0.397)
Cs (0.000, 0.000, 0.500)
I (0.318, 0.233, 0.991)
I (0.833, 0.240, 0.808)
Ge (0.545, 0.563, 0.198)
I (0.840, 0.265, 0.213)
I (0.682, 0.767, 0.009)